[1]
Below is a geometry-optimized Ba2InCu structure, with properties calculated at the PBE level.

Geometry as POSCAR:
```
Ba2InCu
1.0
4.7758 0.0000 0.0000
0.0000 4.7758 0.0000
0.0000 0.0000 7.2918
Ba In Cu
2 1 1
Direct
0.0000 0.0000 0.0000
0.5000 0.5000 0.4116
0.5000 0.5000 0.8780
0.0000 0.0000 0.4927
```

size of the total moment: 0.00 μB/cell
total DFT energy (no corrections): -2.624 eV per atom
symmetry: P4mm, No. 99

---

[2]
Below is a geometry-optimized BaInCu2 structure, with properties calculated at the PBE level.

Geometry as POSCAR:
```
BaInCu2
1.0
5.0576 0.0000 0.0000
0.0000 5.0576 0.0000
0.0000 0.0000 3.8629
Ba In Cu
1 1 2
Direct
0.0000 0.0000 0.0000
0.5000 0.5000 0.0000
0.0000 0.5000 0.5000
0.5000 0.0000 0.5000
```

size of the total moment: 0.00 μB/cell
total DFT energy (no corrections): -3.010 eV per atom
symmetry: P4/mmm, No. 123

---

[3]
Below is a geometry-optimized Ba8In2Cu structure, with properties calculated at the PBE level.

Geometry as POSCAR:
```
Ba8In2Cu
1.0
10.6886 -3.0022 0.0000
10.6886 3.0022 0.0000
-2.3963 0.0000 7.8459
Ba In Cu
8 2 1
Direct
0.0291 0.0291 0.2953
0.2088 0.2088 0.7984
0.3430 0.3430 0.5427
0.4040 0.4040 0.0737
0.5960 0.5960 0.9263
0.6570 0.6570 0.4573
0.7912 0.7912 0.2016
0.9709 0.9709 0.7047
0.1846 0.1846 0.2108
0.8154 0.8154 0.7892
0.5000 0.5000 0.5000
```

size of the total moment: 0.00 μB/cell
total DFT energy (no corrections): -2.417 eV per atom
symmetry: C2/m, No. 12

---

[4]
Below is a geometry-optimized Ba2InCu structure, with properties calculated at the PBE level.

Geometry as POSCAR:
```
Ba2InCu
1.0
4.0717 0.0000 0.0000
0.0000 5.8216 0.0000
0.0000 0.0000 11.4790
Ba In Cu
4 2 2
Direct
0.0000 0.0000 0.0000
0.0000 0.5000 0.1889
0.5000 0.0000 0.6889
0.5000 0.5000 0.5000
0.0000 0.0000 0.4007
0.5000 0.5000 0.9007
0.0000 0.5000 0.7498
0.5000 0.0000 0.2498
```

size of the total moment: 0.00 μB/cell
total DFT energy (no corrections): -2.800 eV per atom
symmetry: Imm2, No. 44

---

[5]
Below is a geometry-optimized BaInCu2 structure, with properties calculated at the PBE level.

Geometry as POSCAR:
```
BaInCu2
1.0
4.4459 0.0000 0.0000
-2.2229 3.8502 0.0000
0.0000 0.0000 18.1295
Ba In Cu
3 3 6
Direct
0.0000 0.0000 0.0000
0.3333 0.6667 0.6667
0.6667 0.3333 0.3333
0.0000 0.0000 0.8091
0.3333 0.6667 0.4758
0.6667 0.3333 0.1425
0.0000 0.0000 0.1991
0.0000 0.0000 0.5276
0.3333 0.6667 0.1942
0.3333 0.6667 0.8658
0.6667 0.3333 0.5325
0.6667 0.3333 0.8609
```

size of the total moment: 0.00 μB/cell
total DFT energy (no corrections): -3.333 eV per atom
symmetry: R3m, No. 160

---

[6]
Below is a geometry-optimized Ba2In2Cu structure, with properties calculated at the PBE level.

Geometry as POSCAR:
```
Ba2In2Cu
1.0
7.7236 0.0000 0.0000
0.0000 7.7236 0.0000
0.0000 0.0000 5.5779
Ba In Cu
4 4 2
Direct
0.1650 0.3350 0.0000
0.3350 0.8350 0.0000
0.6650 0.1650 0.0000
0.8350 0.6650 0.0000
0.1453 0.6453 0.5000
0.3547 0.1453 0.5000
0.6453 0.8547 0.5000
0.8547 0.3547 0.5000
0.0000 0.0000 0.5000
0.5000 0.5000 0.5000
```

size of the total moment: 0.00 μB/cell
total DFT energy (no corrections): -2.768 eV per atom
symmetry: P4/mbm, No. 127

---

[7]
Below is a geometry-optimized Ba2InCu structure, with properties calculated at the PBE level.

Geometry as POSCAR:
```
Ba2InCu
1.0
3.9808 0.0000 0.0000
0.0000 4.0648 0.0000
0.0000 0.0000 8.6969
Ba In Cu
2 1 1
Direct
0.0000 0.0000 0.2283
0.0000 0.0000 0.7717
0.5000 0.5000 0.5000
0.5000 0.5000 0.0000
```

size of the total moment: 0.00 μB/cell
total DFT energy (no corrections): -2.819 eV per atom
symmetry: Pmmm, No. 47

---

[8]
Below is a geometry-optimized BaInCu2 structure, with properties calculated at the PBE level.

Geometry as POSCAR:
```
BaInCu2
1.0
3.6911 0.0000 0.0000
0.0000 3.6911 0.0000
0.0000 0.0000 7.0914
Ba In Cu
1 1 2
Direct
0.0000 0.0000 0.0000
0.0000 0.0000 0.5000
0.5000 0.5000 0.3229
0.5000 0.5000 0.6771
```

size of the total moment: 0.00 μB/cell
total DFT energy (no corrections): -3.118 eV per atom
symmetry: P4/mmm, No. 123